{"formula": "Cd2GeO4", "functional": "PBE", "state": "optimized geometry", "lattice": [[5.526, 0.000, 0.000], [0.000, 9.723, 0.000], [0.000, 0.000, 3.047]], "species": ["O", "O", "O", "O", "O", "O", "O", "O", "Ge", "Ge", "Cd", "Cd", "Cd", "Cd"], "fractional_positions": [[0.623, 0.680, 0.000], [0.123, 0.820, 0.000], [0.720, 0.458, 0.500], [0.220, 0.042, 0.500], [0.877, 0.180, 0.000], [0.780, 0.958, 0.500], [0.280, 0.542, 0.500], [0.377, 0.320, 0.000], [0.500, 0.500, 0.000], [0.000, 0.000, 0.000], [0.939, 0.673, 0.500], [0.439, 0.827, 0.500], [0.561, 0.173, 0.500], [0.061, 0.327, 0.500]], "crystal_system": "orthorhombic"}

=====

{"formula": "CoBiIrW", "functional": "PBE", "state": "optimized geometry", "lattice": [[0.000, 3.198, 3.198], [3.198, 0.000, 3.198], [3.198, 3.198, 0.000]], "species": ["Bi", "Co", "W", "Ir"], "fractional_positions": [[0.000, 0.000, 0.000], [0.750, 0.750, 0.750], [0.250, 0.250, 0.250], [0.500, 0.500, 0.500]], "m_tot_mub_per_cell": 0.05, "crystal_system": "cubic"}

=====

{"formula": "NaScOs", "functional": "PBE", "state": "optimized geometry", "lattice": [[0.000, 3.198, 3.198], [3.198, 0.000, 3.198], [3.198, 3.198, 0.000]], "species": ["Os", "Na", "Sc"], "fractional_positions": [[0.000, 0.000, 0.000], [0.250, 0.250, 0.250], [0.750, 0.750, 0.750]], "m_tot_mub_per_cell": 0.00, "crystal_system": "cubic"}

=====

{"formula": "Tb2ErMg3In3", "functional": "PBE", "state": "optimized geometry", "lattice": [[-2.570, -3.647, 1.394], [5.553, -4.651, -1.932], [-0.238, 2.822, 6.941]], "species": ["Mg", "Mg", "Mg", "Er", "Tb", "Tb", "In", "In", "In"], "fractional_positions": [[0.500, 0.000, 0.758], [0.500, 0.241, 0.241], [0.500, 0.758, 0.000], [0.000, 0.566, 0.566], [0.000, 0.436, 0.000], [0.000, 0.000, 0.436], [0.500, 0.335, 0.666], [0.500, 0.666, 0.335], [0.000, 0.998, 0.998]], "m_tot_mub_per_cell": 0.00, "crystal_system": "orthorhombic"}

=====

{"formula": "Tb10B2Br15", "functional": "PBE", "state": "optimized geometry", "lattice": [[9.092, 0.000, 0.000], [-3.505, 9.224, 0.000], [-4.443, -1.930, 9.555]], "species": ["Br", "Br", "Br", "Br", "Br", "Br", "Br", "Br", "Br", "Br", "Br", "Br", "Br", "Br", "Br", "Tb", "Tb", "Tb", "Tb", "Tb", "Tb", "Tb", "Tb", "Tb", "Tb", "B", "B"], "fractional_positions": [[0.944, 0.657, 0.773], [0.164, 0.058, 0.702], [0.231, 0.410, 0.943], [0.836, 0.942, 0.298], [0.638, 0.883, 0.584], [0.884, 0.299, 0.529], [0.711, 0.239, 0.820], [0.056, 0.343, 0.227], [0.000, 0.000, 0.000], [0.408, 0.462, 0.659], [0.116, 0.701, 0.471], [0.592, 0.538, 0.341], [0.769, 0.590, 0.057], [0.289, 0.761, 0.180], [0.362, 0.117, 0.416], [0.475, 0.295, 0.905], [0.525, 0.705, 0.095], [0.326, 0.253, 0.178], [0.279, 0.926, 0.952], [0.721, 0.074, 0.048], [0.201, 0.592, 0.724], [0.674, 0.747, 0.822], [0.415, 0.959, 0.677], [0.799, 0.408, 0.276], [0.585, 0.041, 0.323], [0.533, 0.181, 0.123], [0.467, 0.819, 0.877]], "m_tot_mub_per_cell": 0.10, "crystal_system": "triclinic"}

=====

{"formula": "Li2Nb2Ga2CoOs", "functional": "PBE", "state": "optimized geometry", "lattice": [[4.287, 0.000, 0.000], [0.000, 4.287, 0.000], [0.000, 0.000, 6.061]], "species": ["Co", "Ga", "Ga", "Nb", "Nb", "Li", "Li", "Os"], "fractional_positions": [[0.000, 0.000, 0.000], [0.500, 0.000, 0.756], [0.000, 0.500, 0.244], [0.000, 0.500, 0.761], [0.500, 0.000, 0.239], [0.000, 0.000, 0.500], [0.500, 0.500, 0.000], [0.500, 0.500, 0.500]], "m_tot_mub_per_cell": 0.00, "crystal_system": "tetragonal"}

=====

{"formula": "SrZnAgGe2", "functional": "PBE", "state": "optimized geometry", "lattice": [[-2.210, 2.210, 5.473], [2.210, -2.210, 5.473], [2.210, 2.210, -5.473]], "species": ["Ge", "Ge", "Zn", "Sr", "Ag"], "fractional_positions": [[0.885, 0.885, 0.000], [0.115, 0.115, 0.000], [0.750, 0.250, 0.500], [0.500, 0.500, 0.000], [0.250, 0.750, 0.500]], "crystal_system": "tetragonal"}

=====

{"formula": "RbCoCuRe", "functional": "PBE", "state": "optimized geometry", "lattice": [[-3.525, 0.368, 2.827], [-3.846, 1.939, -1.413], [-3.705, -2.528, -0.656]], "species": ["Rb", "Co", "Cu", "Re"], "fractional_positions": [[0.250, 0.250, 0.250], [0.500, 0.500, 0.500], [0.750, 0.750, 0.750], [0.000, 0.000, 0.000]], "m_tot_mub_per_cell": 3.88, "crystal_system": "cubic"}

=====

{"formula": "NaNdBi2", "functional": "PBE", "state": "optimized geometry", "lattice": [[-1.014, -1.637, -4.129], [-3.179, -2.690, 1.848], [-7.972, 8.462, -1.396]], "species": ["Bi", "Bi", "Bi", "Bi", "Nd", "Nd", "Na", "Na"], "fractional_positions": [[0.500, 0.000, 0.197], [0.000, 0.000, 0.500], [0.500, 0.500, 0.500], [0.000, 0.500, 0.803], [0.500, 0.000, 0.719], [0.000, 0.500, 0.281], [0.500, 0.500, 0.000], [0.000, 0.000, 0.000]], "m_tot_mub_per_cell": 0.00, "crystal_system": "tetragonal"}

=====

{"formula": "YCuGeTeS2", "functional": "PBE", "state": "optimized geometry", "lattice": [[1.944, -6.524, 0.000], [1.944, 6.524, 0.000], [0.000, 0.000, 10.916]], "species": ["S", "S", "S", "S", "Y", "Y", "Ge", "Ge", "Cu", "Cu", "Te", "Te"], "fractional_positions": [[0.368, 0.632, 0.920], [0.632, 0.368, 0.420], [0.368, 0.632, 0.580], [0.632, 0.368, 0.080], [0.000, 0.000, 0.000], [0.000, 0.000, 0.500], [0.195, 0.805, 0.250], [0.805, 0.195, 0.750], [0.473, 0.527, 0.750], [0.527, 0.473, 0.250], [0.888, 0.112, 0.250], [0.112, 0.888, 0.750]], "m_tot_mub_per_cell": 0.00, "crystal_system": "orthorhombic"}

=====

{"formula": "Li5Au3", "functional": "PBE", "state": "optimized geometry", "lattice": [[6.653, -3.841, 0.000], [6.653, 3.841, 0.000], [0.000, 0.000, 5.100]], "species": ["Au", "Au", "Au", "Au", "Au", "Au", "Li", "Li", "Li", "Li", "Li", "Li", "Li", "Li", "Li", "Li"], "fractional_positions": [[0.000, 0.396, 0.250], [0.396, 0.000, 0.750], [0.396, 0.604, 0.250], [0.604, 0.000, 0.250], [0.604, 0.396, 0.750], [0.000, 0.604, 0.750], [0.333, 0.333, 0.000], [0.333, 0.333, 0.500], [0.251, 0.000, 0.250], [0.749, 0.000, 0.750], [0.000, 0.251, 0.750], [0.667, 0.667, 0.500], [0.251, 0.749, 0.750], [0.667, 0.667, 0.000], [0.749, 0.251, 0.250], [0.000, 0.749, 0.250]], "crystal_system": "hexagonal"}

=====

{"formula": "CdInCoMo", "functional": "PBE", "state": "optimized geometry", "lattice": [[0.000, 3.229, 3.229], [3.229, 0.000, 3.229], [3.229, 3.229, 0.000]], "species": ["Co", "In", "Cd", "Mo"], "fractional_positions": [[0.750, 0.750, 0.750], [0.000, 0.000, 0.000], [0.250, 0.250, 0.250], [0.500, 0.500, 0.500]], "m_tot_mub_per_cell": 2.00, "crystal_system": "cubic"}

=====

| no. | raw total energy (eV for the cell shown) |
| --- | --- |
| 1 | -70.52 |
| 2 | -30.33 |
| 3 | -16.36 |
| 4 | -30.21 |
| 5 | -125.87 |
| 6 | -50.73 |
| 7 | -16.87 |
| 8 | -15.99 |
| 9 | -32.99 |
| 10 | -61.92 |
| 11 | -46.17 |
| 12 | -19.42 |